This record from Alexandria describes a relaxed structure of Ca2TbS3. The functional is PBE.

a b c (Å): 6.9122 6.9122 12.6064
angles (deg): 100.55 100.55 109.39
Fractional coordinates of all 24 atoms:
Tb: 0.3331 0.8331 0.6663
Tb: 0.9169 0.9169 0.8337
Tb: 0.0831 0.0831 0.1663
Tb: 0.1669 0.6669 0.3337
Ca: 0.7495 0.7495 0.4989
Ca: 0.6672 0.1672 0.3343
Ca: 0.5005 0.0005 0.0011
Ca: 0.5828 0.5828 0.1657
Ca: 0.2505 0.2505 0.5011
Ca: 0.9995 0.4995 0.9989
Ca: 0.8328 0.3328 0.6657
Ca: 0.4172 0.4172 0.8343
S: 0.5843 0.5888 0.6682
S: 0.1661 0.6706 0.8318
S: 0.3294 0.8339 0.1682
S: 0.7543 0.7543 0.0000
S: 0.4112 0.4157 0.3318
S: 0.0839 0.0794 0.6682
S: 0.6657 0.1612 0.8318
S: 0.2457 0.2457 0.0000
S: 0.0043 0.5043 0.5000
S: 0.9206 0.9161 0.3318
S: 0.4957 0.9957 0.5000
S: 0.8388 0.3343 0.1682

Properties
* symmetry: No. 70
* energy relative to the lowest polymorph listed for this composition: 0.000 eV per atom
* D(E_F): 1.2 states/eV/f.u.
* calculated volume: 22.5 Å³/atom
* energy: -134.1 eV/cell
* ΔE_f (raw): -12.521 eV per formula unit

---

This record from Alexandria describes a relaxed structure of CaTb4S7. The functional is PBE.

a b c (Å): 3.8591 6.7511 11.7092
angles (deg): 104.30 90.00 106.61
Fractional coordinates of all 12 atoms:
S: 0.2526 0.5052 0.6496
S: 0.0459 0.0918 0.7871
S: 0.3460 0.6921 0.9525
S: 0.7341 0.4682 0.3498
S: 0.9599 0.9198 0.2125
S: 0.4882 0.9764 0.4799
S: 0.6638 0.3276 0.0530
Tb: 0.6989 0.3977 0.8096
Tb: 0.1117 0.2234 0.4247
Tb: 0.3103 0.6207 0.2015
Tb: 0.0049 0.0097 0.9993
Ca: 0.8836 0.7673 0.5804

Properties
* symmetry: No. 8
* calculated volume: 23.5 Å³/atom
* energy: -74.3 eV/cell
* ΔE_f (raw): -24.850 eV per formula unit

---

This record from Alexandria describes a relaxed structure of CaTb2S4. The functional is PBE.

a b c (Å): 7.2809 7.2809 7.2809
angles (deg): 109.55 109.55 109.31
Fractional coordinates of all 14 atoms:
Ca: 0.7500 0.2500 0.5000
Ca: 0.0000 0.0000 0.0000
Tb: 0.5026 0.1250 0.8776
Tb: 0.8750 0.7526 0.3776
Tb: 0.2474 0.6250 0.1224
Tb: 0.3750 0.4974 0.6224
S: 0.2626 0.0133 0.3944
S: 0.4874 0.3818 0.2507
S: 0.9867 0.3811 0.2493
S: 0.1311 0.2367 0.7493
S: 0.6189 0.8682 0.6056
S: 0.7633 0.5126 0.8944
S: 0.1318 0.7374 0.7507
S: 0.6182 0.8689 0.1056

Properties
* symmetry: No. 122
* energy relative to the lowest polymorph listed for this composition: 0.005 eV per atom
* D(E_F): 0.0 states/eV/f.u.
* calculated volume: 21.2 Å³/atom
* energy: -84.6 eV/cell
* ΔE_f (raw): -14.553 eV per formula unit